[1]
Compound: Ac2GdPa
Source: the Alexandria database
Functional: PBE
Structure: optimized geometry

Lattice parameters (Å, degrees): 3.5639 3.5639 38.8816 90.00 90.00 120.00
Space group R-3m (No. 166, hexagonal axes)
Asymmetric unit:
Ac1 0.0000 0.0000 0.0859 x6
Gd1 0.0000 0.0000 0.5000 x3
Pa1 0.0000 0.0000 0.0000 x3

Properties
The total energy comes out at -7.4591 eV per atom. The density of states at the Fermi level comes out at 6.82 states/eV/f.u. The calculation puts the formation energy at 0.489 eV/atom.

=====

[2]
Compound: AcGdPb2
Source: the Alexandria database
Functional: PBE
Structure: optimized geometry

Lattice parameters (Å, degrees): 5.2672 5.2672 17.1457 90.00 90.00 120.00
Space group R-3m (No. 166, hexagonal axes)
Asymmetric unit:
Ac1 0.0000 0.0000 0.0000 x3
Gd1 0.0000 0.0000 0.5000 x3
Pb1 0.0000 0.0000 0.2384 x6

Properties
The total energy comes out at -6.8570 eV per atom. The density of states at the Fermi level comes out at 3.71 states/eV/f.u. The calculation puts the formation energy at -0.456 eV/atom.

=====

Please write out number 2 again, unchanged.
Compound: AcGdPb2
Source: the Alexandria database
Functional: PBE
Structure: optimized geometry

Lattice parameters (Å, degrees): 5.2672 5.2672 17.1457 90.00 90.00 120.00
Space group R-3m (No. 166, hexagonal axes)
Asymmetric unit:
Ac1 0.0000 0.0000 0.0000 x3
Gd1 0.0000 0.0000 0.5000 x3
Pb1 0.0000 0.0000 0.2384 x6

Properties
The total energy comes out at -6.8570 eV per atom. The density of states at the Fermi level comes out at 3.71 states/eV/f.u. The calculation puts the formation energy at -0.456 eV/atom.